The following is a PBE-GGA calculation of a relaxed structure of PmDy4Te5, from Alexandria via LeMat-Bulk.

The structure belongs to space group C2/m (No. 12); the cell edges are 14.5411, 4.3744 and 10.7113 Å and the angles 90.00°, 119.58° and 90.00°. Symmetry generates all atoms from Pm at (0.0000, 0.0000, 0.0000), Dy at (0.0983, 0.5000, 0.3947), Dy at (0.2043, 0.0000, 0.7998), Te at (0.0000, 0.0000, 0.5000), Te at (0.1044, 0.5000, 0.8967) and Te at (0.2030, 0.0000, 0.3067).

The value obtained for the formation energy without anion corrections is -1.306 eV per atom. As for the crystal system: monoclinic.